Entry 1:
{"formula": "BeSi2Rh", "functional": "GGA-PBE", "state": "relaxed", "space_group": "No. 160", "volume_a3_per_cell": 52, "e_form_raw_ev_per_atom": -0.048, "magnetic_moment_mub_per_fu": 0.0, "density_g_cm3": 5.412, "total_energy_ev_per_cell": -22.11, "lattice_angstrom": [[7.3231, -0.0338, -0.0200], [6.7660, 2.8019, -0.0200], [6.7660, 1.3293, 2.4665]], "species": ["Si", "Be", "Si", "Rh"], "fractional_positions": [[0.2470, 0.2470, 0.2470], [0.5004, 0.5004, 0.5004], [0.0008, 0.0008, 0.0008], [0.7517, 0.7517, 0.7517]]}

Entry 2:
{"formula": "BeSi2Rh", "functional": "GGA-PBE", "state": "relaxed", "space_group": "No. 123", "volume_a3_per_cell": 50, "e_form_raw_ev_per_atom": -0.015, "magnetic_moment_mub_per_fu": 0.0, "density_g_cm3": 5.548, "total_energy_ev_per_cell": -21.98, "lattice_angstrom": [[-2.0246, 0.8195, 1.5992], [-1.7024, -1.6457, -1.3120], [1.4585, -5.0398, 4.4291]], "species": ["Si", "Si", "Rh", "Be"], "fractional_positions": [[0.0000, 0.0000, 0.4964], [0.0000, 0.0000, 0.0036], [0.5000, 0.5000, 0.7500], [0.5000, 0.5000, 0.2500]]}

Entry 3:
{"formula": "Be2SiRh", "functional": "GGA-PBE", "state": "relaxed", "space_group": "No. 25", "volume_a3_per_cell": 44, "e_form_raw_ev_per_atom": -0.349, "magnetic_moment_mub_per_fu": 0.0, "density_g_cm3": 5.639, "total_energy_ev_per_cell": -21.62, "lattice_angstrom": [[-0.6288, -3.0753, -0.5699], [0.9339, -0.6706, 2.5881], [-4.4838, 0.5887, 1.7707]], "species": ["Be", "Si", "Be", "Rh"], "fractional_positions": [[0.5000, 0.1251, 0.2283], [0.5000, 0.1250, 0.7592], [0.0000, 0.6248, 0.0137], [0.0000, 0.6251, 0.4988]]}

Entry 4:
{"formula": "Be2SiRh", "functional": "GGA-PBE", "state": "relaxed", "space_group": "No. 12", "volume_a3_per_cell": 43, "e_form_raw_ev_per_atom": -0.377, "magnetic_moment_mub_per_fu": 0.0, "density_g_cm3": 5.746, "total_energy_ev_per_cell": -21.73, "lattice_angstrom": [[5.9557, 0.3940, 1.1566], [-2.3203, 2.6887, 0.1014], [1.3152, 1.0151, 2.9797]], "species": ["Be", "Rh", "Be", "Si"], "fractional_positions": [[0.5000, 0.0000, 0.5000], [0.0000, 0.5000, 0.5000], [0.0000, 0.0000, 0.0000], [0.5000, 0.5000, 0.0000]]}

Entry 5:
{"formula": "Be2SiRh", "functional": "GGA-PBE", "state": "relaxed", "space_group": "No. 122", "volume_a3_per_cell": 98, "e_form_raw_ev_per_atom": 0.207, "magnetic_moment_mub_per_fu": 0.0, "density_g_cm3": 5.073, "total_energy_ev_per_cell": -38.80, "lattice_angstrom": [[-3.1412, -5.3212, -1.6736], [5.0597, -1.9092, -3.4261], [1.8326, -4.7322, -0.6377]], "species": ["Be", "Be", "Rh", "Si", "Rh", "Si", "Be", "Be"], "fractional_positions": [[0.8750, 0.8779, 0.7500], [0.6279, 0.1250, 0.2500], [0.0000, 0.0000, 0.0000], [0.5000, 0.5000, 0.0000], [0.7500, 0.2500, 0.5000], [0.2500, 0.7500, 0.5000], [0.1221, 0.6250, 0.2500], [0.3750, 0.3721, 0.7500]]}

Entry 6:
{"formula": "BeSiRh", "functional": "GGA-PBE", "state": "relaxed", "space_group": "No. 156", "volume_a3_per_cell": 37, "e_form_raw_ev_per_atom": -0.277, "magnetic_moment_mub_per_fu": 0.0, "density_g_cm3": 6.201, "total_energy_ev_per_cell": -17.33, "lattice_angstrom": [[3.9547, 0.0000, 0.0000], [-1.9774, 3.4249, 0.0000], [0.0000, 0.0000, 2.7678]], "species": ["Rh", "Be", "Si"], "fractional_positions": [[0.6667, 0.3333, 0.4519], [0.0000, 0.0000, 0.9497], [0.3333, 0.6667, 0.5984]]}

Entry 7:
{"formula": "BeSi3Rh4", "functional": "GGA-PBE", "state": "relaxed", "space_group": "No. 139", "volume_a3_per_cell": 101, "e_form_raw_ev_per_atom": -0.669, "magnetic_moment_mub_per_fu": 0.0, "density_g_cm3": 8.342, "total_energy_ev_per_cell": -54.75, "lattice_angstrom": [[3.8625, 0.0000, -1.0426], [-0.2771, 3.8570, -1.0265], [-0.2153, -0.2587, 6.8784]], "species": ["Si", "Rh", "Rh", "Rh", "Si", "Si", "Rh", "Be"], "fractional_positions": [[0.7445, 0.2447, 0.4890], [0.1220, 0.1226, 0.2440], [0.6220, 0.6225, 0.2440], [0.3780, 0.3775, 0.7560], [0.0000, 0.5000, 0.0000], [0.2555, 0.7553, 0.5110], [0.8780, 0.8774, 0.7560], [0.5000, 0.0000, 0.0000]]}

Entry 8:
{"formula": "BeSi2Rh", "functional": "GGA-PBE", "state": "relaxed", "space_group": "No. 216", "volume_a3_per_cell": 50, "e_form_raw_ev_per_atom": 0.023, "magnetic_moment_mub_per_fu": 0.0, "density_g_cm3": 5.567, "total_energy_ev_per_cell": -21.83, "lattice_angstrom": [[-2.9146, 0.3109, -2.9224], [-3.9540, -0.7986, 0.9274], [-2.7554, 3.0852, 0.1452]], "species": ["Rh", "Si", "Si", "Be"], "fractional_positions": [[0.2500, 0.2500, 0.2500], [0.7500, 0.7500, 0.7500], [0.0000, 0.0000, 0.0000], [0.5000, 0.5000, 0.5000]]}

Entry 9:
{"formula": "Be3SiRh4", "functional": "GGA-PBE", "state": "relaxed", "space_group": "No. 139", "volume_a3_per_cell": 90, "e_form_raw_ev_per_atom": -0.793, "magnetic_moment_mub_per_fu": 0.0, "density_g_cm3": 8.591, "total_energy_ev_per_cell": -52.35, "lattice_angstrom": [[3.8598, 0.0010, -1.0419], [-0.2759, 3.8542, -1.0261], [-0.3737, -0.4264, 6.2866]], "species": ["Be", "Si", "Rh", "Rh", "Rh", "Be", "Rh", "Be"], "fractional_positions": [[0.7558, 0.2560, 0.5115], [0.5000, 0.0000, 0.0000], [0.3737, 0.3736, 0.7473], [0.8736, 0.8738, 0.7473], [0.6263, 0.6264, 0.2527], [0.2442, 0.7440, 0.4885], [0.1264, 0.1262, 0.2527], [0.0000, 0.5000, 0.0000]]}

Entry 10:
{"formula": "BeSiRh", "functional": "GGA-PBE", "state": "relaxed", "space_group": "No. 42", "volume_a3_per_cell": 38, "e_form_raw_ev_per_atom": -0.060, "magnetic_moment_mub_per_fu": 0.0, "density_g_cm3": 6.195, "total_energy_ev_per_cell": -16.68, "lattice_angstrom": [[6.2194, 0.0352, -0.0246], [5.3147, 2.6087, -0.1318], [0.9047, -0.9871, 2.3791]], "species": ["Be", "Rh", "Si"], "fractional_positions": [[0.9988, 0.9988, 0.0012], [0.3382, 0.3382, 0.6618], [0.6630, 0.6630, 0.3370]]}

Entry 11:
{"formula": "BeSi2Rh2", "functional": "GGA-PBE", "state": "relaxed", "space_group": "No. 127", "volume_a3_per_cell": 132, "e_form_raw_ev_per_atom": -0.342, "magnetic_moment_mub_per_fu": 0.0, "density_g_cm3": 6.809, "total_energy_ev_per_cell": -61.97, "lattice_angstrom": [[-3.6770, 3.0429, -4.5943], [-0.2323, -5.6039, -3.5256], [-2.5030, -0.8164, 1.4625]], "species": ["Rh", "Be", "Rh", "Be", "Si", "Si", "Si", "Rh", "Si", "Rh"], "fractional_positions": [[0.1557, 0.6557, 0.5000], [0.0000, 0.0000, 0.0000], [0.8443, 0.3443, 0.5000], [0.5000, 0.5000, 0.0000], [0.1401, 0.3599, 0.0000], [0.8599, 0.6401, 0.0000], [0.3599, 0.8599, 0.0000], [0.3443, 0.1557, 0.5000], [0.6401, 0.1401, 0.0000], [0.6557, 0.8443, 0.5000]]}

Entry 12:
{"formula": "BeSiRh4", "functional": "GGA-PBE", "state": "relaxed", "space_group": "No. 216", "volume_a3_per_cell": 91, "e_form_raw_ev_per_atom": 0.458, "magnetic_moment_mub_per_fu": 0.0, "density_g_cm3": 8.167, "total_energy_ev_per_cell": -35.81, "lattice_angstrom": [[0.8539, -3.7913, -3.2297], [-2.6912, -4.2633, 0.3400], [-3.4220, -1.1173, -3.5462]], "species": ["Rh", "Be", "Si", "Rh", "Rh", "Rh"], "fractional_positions": [[0.3750, 0.3750, 0.8749], [0.0000, 0.0000, 0.0000], [0.7500, 0.7500, 0.7500], [0.3750, 0.8749, 0.3750], [0.3750, 0.3750, 0.3750], [0.8749, 0.3750, 0.3750]]}

Entry 13:
{"formula": "Be2SiRh", "functional": "GGA-PBE", "state": "relaxed", "space_group": "No. 15", "volume_a3_per_cell": 92, "e_form_raw_ev_per_atom": -0.319, "magnetic_moment_mub_per_fu": 0.0, "density_g_cm3": 5.356, "total_energy_ev_per_cell": -43.01, "lattice_angstrom": [[-2.5759, -2.6283, -2.9201], [4.5324, -1.0635, 0.6302], [-4.6348, -1.5813, 3.5462]], "species": ["Rh", "Si", "Si", "Be", "Rh", "Be", "Be", "Be"], "fractional_positions": [[0.1589, 0.9089, 0.2500], [0.6611, 0.4111, 0.2500], [0.3389, 0.5889, 0.7500], [0.6801, 0.9902, 0.3414], [0.8411, 0.0911, 0.7500], [0.8513, 0.6613, 0.8414], [0.3199, 0.0098, 0.6586], [0.1487, 0.3387, 0.1586]]}

Entry 14:
{"formula": "BeSi3Rh", "functional": "GGA-PBE", "state": "relaxed", "space_group": "No. 221", "volume_a3_per_cell": 97, "e_form_raw_ev_per_atom": 0.789, "magnetic_moment_mub_per_fu": 0.0, "density_g_cm3": 3.374, "total_energy_ev_per_cell": -23.40, "lattice_angstrom": [[4.5875, 0.0000, 0.0000], [0.0000, 4.5875, 0.0000], [0.0000, 0.0000, 4.5875]], "species": ["Be", "Si", "Rh", "Si", "Si"], "fractional_positions": [[0.5000, 0.5000, 0.5000], [0.0000, 0.0000, 0.5000], [0.0000, 0.0000, 0.0000], [0.0000, 0.5000, 0.0000], [0.5000, 0.0000, 0.0000]]}